Compound: LiAgBi2S4
Source: Alexandria
Functional: PBE
Structure: relaxed

Formation energy (no corrections)   -3.850 eV/f.u.
VASP energy   -4.11 eV per atom
Magnetization   0.00 Bohr magnetons per cell
Mass density   6.2 Mg/m³

a = 6.806 Å, b = 4.013 Å, c = 6.951 Å
α = 90.00°, β = 110.23°, γ = 90.00°
Atoms (fractional coordinates):
Li: 0.000 0.000 0.000
Ag: 0.000 0.500 0.500
Bi: 0.500 0.000 0.500
Bi: 0.500 0.500 0.000
S: 0.241 0.000 0.747
S: 0.241 0.500 0.244
S: 0.759 0.000 0.253
S: 0.759 0.500 0.756